[1]
Material: SrFeTe
Method: DFT, PBEsol
State: optimized geometry

Structure (extended XYZ):
```
3
Lattice="4.6382 0.0000 0.0000 2.3191 4.0168 0.0000 2.3191 1.3389 3.7871" Properties=species:S:1:pos:R:3 pbc="T T T"
Fe 2.3191 1.3389 0.9468
Sr 0.0000 0.0000 0.0000
Te 4.6382 2.6779 1.8936
```

Results
The energy relative to the elements, uncorrected comes out at -0.092 eV per atom. The calculation puts the magnetization at 2.00 μB per formula unit. The crystal system is cubic.

[2]
Material: Ba2HgAu
Method: DFT, PBEsol
State: optimized geometry

Structure (extended XYZ):
```
4
Lattice="4.4681 0.0000 0.0000 0.0000 5.0749 0.0000 -2.2341 0.0000 6.0393" Properties=species:S:1:pos:R:3 pbc="T T T"
Au 2.2341 2.5375 2.3917
Hg 2.2341 0.0000 0.6226
Ba 2.2341 2.5375 5.8833
Ba 0.0000 0.0000 3.1810
```

Results
The energy relative to the elements comes out at -0.5736 eV per atom. The calculation puts the magnetization at 0.00 μB per formula unit. The crystal system is orthorhombic.

[3]
Material: HfPbClF2
Method: DFT, PBEsol
State: optimized geometry

Structure (extended XYZ):
```
5
Lattice="4.1364 0.0000 0.0000 0.0000 4.1364 0.0000 0.0000 0.0000 5.9977" Properties=species:S:1:pos:R:3 pbc="T T T"
Pb 0.0000 0.0000 2.9989
F 0.0000 2.0682 0.0000
F 2.0682 0.0000 0.0000
Hf 0.0000 0.0000 0.0000
Cl 2.0682 2.0682 2.9989
```

Results
The energy relative to the elements, uncorrected comes out at -1.925 eV per atom. The calculation puts the magnetization at 0.30 μB per formula unit. The crystal system is tetragonal.

[4]
Material: CrCuNi2
Method: DFT, PBEsol
State: optimized geometry

Structure (extended XYZ):
```
4
Lattice="-2.1826 0.2592 -1.1291 -0.3590 -0.9875 -2.2365 -3.4494 -7.1157 2.3305" Properties=species:S:1:pos:R:3 pbc="T T T"
Cr -2.9955 -3.9220 -0.5175
Cu 0.0000 0.0000 0.0000
Ni -1.5091 -1.9910 -0.2437
Ni -4.4819 -5.8530 -0.7913
```

Results
The energy relative to the elements comes out at 0.0550 eV per atom. The calculation puts the magnetization at 0.00 μB per formula unit. The crystal system is trigonal.